*i*
! KRb2Sr2 | the Alexandria database | PBE | optimized geometry; values from VASP
! - space group = P4/mbm (127)
! - D(E_F) (states/eV per atom) = 0.85
&SYSTEM
  ibrav = 0, nat = 10, ntyp = 3
/
ATOMIC_SPECIES
Rb 85.47 Rb.upf
K 39.10 K.upf
Sr 87.62 Sr.upf
CELL_PARAMETERS angstrom
12.796 0.000 0.000
0.000 12.796 0.000
0.000 0.000 4.623
ATOMIC_POSITIONS angstrom
Rb 10.509 4.111 2.312
K 6.398 6.398 0.000
K 0.000 0.000 0.000
Rb 2.288 8.686 2.312
Sr 4.925 11.323 0.000
Rb 4.111 2.288 2.312
Rb 8.686 10.509 2.312
Sr 11.323 7.871 0.000
Sr 7.871 1.473 0.000
Sr 1.473 4.925 0.000

---

*ii*
! KRb2Sr2 | the Alexandria database | PBE | optimized geometry; values from VASP
! - space group = P4/mbm (127)
! - D(E_F) (states/eV per atom) = 0.90
&SYSTEM
  ibrav = 0, nat = 10, ntyp = 3
/
ATOMIC_SPECIES
Sr 87.62 Sr.upf
Rb 85.47 Rb.upf
K 39.10 K.upf
CELL_PARAMETERS angstrom
-10.765 -3.133 6.320
-3.647 -7.400 -9.879
2.136 -3.557 1.875
ATOMIC_POSITIONS angstrom
Sr -9.850 -7.390 2.731
Sr -8.786 -10.250 -3.904
Rb -11.329 -7.588 -1.486
K 0.000 0.000 0.000
K -7.206 -5.266 -1.780
Sr -2.426 -6.699 -4.415
Rb -6.479 -7.102 -6.089
Rb -3.083 -2.945 -2.073
Sr -3.489 -3.839 2.220
Rb -7.933 -3.431 2.530

---

*iii*
! KRb2Sr2 | the Alexandria database | PBE | optimized geometry; values from VASP
! - space group = I4/mmm (139)
! - D(E_F) (states/eV per atom) = 1.23
&SYSTEM
  ibrav = 0, nat = 5, ntyp = 3
/
ATOMIC_SPECIES
Sr 87.62 Sr.upf
Rb 85.47 Rb.upf
K 39.10 K.upf
CELL_PARAMETERS angstrom
5.790 0.000 0.000
0.000 5.790 0.000
2.895 2.895 11.497
ATOMIC_POSITIONS angstrom
Sr 5.790 5.790 9.420
Rb 2.895 5.790 5.748
Rb 5.790 2.895 5.748
K 0.000 0.000 0.000
Sr 2.895 2.895 2.077

---

In terms of stability, *i* leads; the second structure lies 8 meV/atom higher.